Below is a relaxed Si2NiTe crystal, with properties calculated at the PBE level.

The value obtained for the mass density is 5.14 g/cm³. Its crystal system is monoclinic. The value obtained for the final energy is -0.35836 Ry per atom. The formation energy from raw total energies is 0.0665 eV per atom. The space-group type is Pm, No. 6. Its density of states at the Fermi level is 2.06 states/eV/cell.

Unit cell a=4.017 b=3.739 c=5.223 alpha=90.00 beta=93.72 gamma=90.00
Positions (direct):
Si 0.000 0.000 0.000
Si 0.388 0.500 0.971
Ni 0.852 0.500 0.754
Te 0.690 0.000 0.434

Below is a relaxed SiNiTe4 crystal, with properties calculated at the PBE level.

The value obtained for the mass density is 5.84 g/cm³. Its crystal system is cubic. The value obtained for the final energy is -0.21112 Ry per atom. The formation energy from raw total energies is 1.0895 eV per atom. The space-group type is F-43m, No. 216. Its density of states at the Fermi level is 12.19 states/eV/cell.

Unit cell a=6.216 b=6.216 c=6.216 alpha=60.00 beta=60.00 gamma=60.00
Positions (direct):
Si 0.000 0.000 0.000
Ni 0.250 0.250 0.250
Te 0.126 0.625 0.625
Te 0.625 0.126 0.625
Te 0.625 0.625 0.126
Te 0.625 0.625 0.625

Below is a relaxed Si2NiTe crystal, with properties calculated at the PBE level.

The value obtained for the mass density is 5.79 g/cm³. Its crystal system is tetragonal. The value obtained for the final energy is -0.33094 Ry per atom. The formation energy from raw total energies is 0.4396 eV per atom. The space-group type is P4/mmm, No. 123. Its density of states at the Fermi level is 2.10 states/eV/cell.

Unit cell a=3.677 b=3.677 c=5.147 alpha=90.00 beta=90.00 gamma=90.00
Positions (direct):
Si 0.000 0.500 0.000
Si 0.500 0.000 0.000
Ni 0.000 0.000 0.500
Te 0.500 0.500 0.500

Below is a relaxed Si2NiTe crystal, with properties calculated at the PBE level.

The value obtained for the mass density is 5.96 g/cm³. Its crystal system is tetragonal. The value obtained for the final energy is -0.32302 Ry per atom. The formation energy from raw total energies is 0.5474 eV per atom. The space-group type is I-4m2, No. 119. Its density of states at the Fermi level is 2.93 states/eV/cell.

Unit cell a=4.734 b=4.734 c=4.734 alpha=125.65 beta=125.65 gamma=80.47
Positions (direct):
Si 0.000 0.000 0.000
Si 0.750 0.250 0.500
Ni 0.500 0.500 0.000
Te 0.250 0.750 0.500